Sr2MgRh | PBE | relaxed

formation energy: -0.092 eV per atom
calculated volume: 611.97 Å³/cell
density of states at the Fermi level: 0.96 states/eV/atom

a b c (Å): 10.950 10.950 5.103
angles (deg): 90.00 90.00 90.00
Space group I-42d (No. 122)
Asymmetric unit:
1 Sr 0.085 0.250 0.125
2 Mg 0.000 0.000 0.500
3 Rh 0.000 0.000 0.000